<A>
Compound: BaTi3F
Source: Alexandria
Functional: GGA-PBE
Structure: relaxed

Lattice parameters (Å, degrees): 5.0799 5.0799 5.0799 90.00 90.00 90.00
Sites, in units of the cell vectors:
Ti1 0.0000 0.0000 0.5000
Ba1 0.0000 0.0000 0.0000
F1 0.5000 0.5000 0.5000
Ti2 0.5000 0.0000 0.0000
Ti3 0.0000 0.5000 0.0000

- Total moment: 3.13 μB per cell
- D(E_F): 4.68 states/eV/f.u.

=====

<B>
Compound: BaTi3F
Source: Alexandria
Functional: GGA-PBE
Structure: relaxed

Lattice parameters (Å, degrees): 4.6138 4.6138 4.6138 90.00 90.00 90.00
Sites, in units of the cell vectors:
Ti1 0.0000 0.0000 0.5000
F1 0.0000 0.0000 0.0000
Ti2 0.5000 0.0000 0.0000
Ti3 0.0000 0.5000 0.0000
Ba1 0.5000 0.5000 0.5000

- Total moment: 0.00 μB per cell
- D(E_F): 8.34 states/eV/f.u.

=====

Least stable = <A>

=====

<A>
Compound: BaTlF2
Source: Alexandria
Functional: GGA-PBE
Structure: relaxed

Lattice parameters (Å, degrees): 7.8711 7.8711 7.8711 131.38 131.38 71.21
Sites, in units of the cell vectors:
Tl1 0.7500 0.2500 0.5000
F1 0.8750 0.7830 0.4080
F2 0.2170 0.6250 0.0920
F3 0.3750 0.4670 0.5920
Tl2 0.0000 0.0000 0.0000
F4 0.5330 0.1250 0.9080
Ba1 0.5000 0.5000 0.0000
Ba2 0.2500 0.7500 0.5000

- Total moment: 1.23 μB per cell
- D(E_F): 2.20 states/eV/f.u.

=====

<B>
Compound: BaTlF2
Source: Alexandria
Functional: GGA-PBE
Structure: relaxed

Lattice parameters (Å, degrees): 4.9886 4.9886 4.9886 60.00 60.00 60.00
Sites, in units of the cell vectors:
F1 0.7500 0.7500 0.7500
F2 0.2500 0.2500 0.2500
Tl1 0.5000 0.5000 0.5000
Ba1 0.0000 0.0000 0.0000

- Total moment: 0.00 μB per cell
- D(E_F): 2.28 states/eV/f.u.

=====

<C>
Compound: BaTlF2
Source: Alexandria
Functional: GGA-PBE
Structure: relaxed

Lattice parameters (Å, degrees): 7.9505 7.9505 7.9505 30.95 30.95 30.95
Sites, in units of the cell vectors:
F1 0.8752 0.8752 0.8752
F2 0.1248 0.1248 0.1248
Tl1 0.0000 0.0000 0.0000
Ba1 0.5000 0.5000 0.5000

- Total moment: 0.00 μB per cell
- D(E_F): 1.16 states/eV/f.u.

=====

Least stable = <B>